Entry 1:
A plane-wave DFT calculation with PBE-GGA was carried out for an optimized crystal structure of Ta2MnAs.

The structure belongs to space group R-3m (No. 166, hexagonal axes); the cell edges are 3.2876, 3.2876 and 21.5671 Å and the angles 90.00°, 90.00° and 120.00°. Symmetry generates all atoms from Ta at (0.0000, 0.0000, 0.2458), Mn at (0.0000, 0.0000, 0.5000) and As at (0.0000, 0.0000, 0.0000).

As for the total energy: -9.228 eV/atom.

Entry 2:
A plane-wave DFT calculation with PBE-GGA was carried out for an optimized crystal structure of Ta2MnAs.

The structure belongs to space group Immm (No. 71); the cell edges are 3.452, 4.417 and 8.313 Å and the angles 90.00°, 90.00° and 90.00°. Symmetry generates all atoms from Ta at (0.000, 0.000, 0.245), Mn at (0.000, 0.500, 0.500) and As at (0.000, 0.500, 0.000).

As for the total energy: -9.453 eV/atom.

Entry 3:
A plane-wave DFT calculation with PBE-GGA was carried out for an optimized crystal structure of TaMnAs2.

The structure belongs to space group P4mm (No. 99); the cell edges are 3.390, 3.390 and 5.652 Å and the angles 90.00°, 90.00° and 90.00°. Symmetry generates all atoms from Ta at (0.000, 0.000, 0.000), Mn at (0.500, 0.500, 0.692), As at (0.000, 0.000, 0.528) and As at (0.500, 0.500, 0.183).

The polymorph energy (0 for the lowest one) comes out at 0 meV/atom. As for the total energy: -7.826 eV/atom.

Entry 4:
A plane-wave DFT calculation with PBE-GGA was carried out for an optimized crystal structure of Ta2MnAs.

The structure belongs to space group P4mm (No. 99); the cell edges are 2.967, 2.967 and 7.088 Å and the angles 90.00°, 90.00° and 90.00°. Symmetry generates all atoms from Ta at (0.000, 0.000, 0.000), Ta at (0.500, 0.500, 0.321), Mn at (0.500, 0.500, 0.765) and As at (0.000, 0.000, 0.588).

As for the total energy: -9.378 eV/atom.

Entry 5:
A plane-wave DFT calculation with PBE-GGA was carried out for an optimized crystal structure of TaMnAs2.

The structure belongs to space group Immm (No. 71); the cell edges are 3.662, 4.799 and 7.470 Å and the angles 90.00°, 90.00° and 90.00°. Symmetry generates all atoms from Ta at (0.000, 0.000, 0.000), Mn at (0.000, 0.000, 0.500) and As at (0.000, 0.500, 0.226).

The polymorph energy (0 for the lowest one) comes out at 279 meV/atom. As for the total energy: -7.547 eV/atom.

Entry 6:
A plane-wave DFT calculation with PBE-GGA was carried out for an optimized crystal structure of Ta2MnAs.

The structure belongs to space group P4/mmm (No. 123); the cell edges are 4.019, 4.019 and 3.922 Å and the angles 90.00°, 90.00° and 90.00°. Symmetry generates all atoms from Ta at (0.000, 0.500, 0.000), Mn at (0.000, 0.000, 0.500) and As at (0.500, 0.500, 0.500).

As for the total energy: -9.430 eV/atom.

Entry 7:
A plane-wave DFT calculation with PBE-GGA was carried out for an optimized crystal structure of Ta2MnAs.

The structure belongs to space group Cmmm (No. 65); the cell edges are 3.501, 4.705 and 7.816 Å and the angles 90.00°, 90.00° and 90.00°. Symmetry generates all atoms from Ta at (0.000, 0.000, 0.241), Mn at (0.000, 0.500, 0.000) and As at (0.000, 0.500, 0.500).

As for the total energy: -9.392 eV/atom.

Entry 8:
A plane-wave DFT calculation with PBE-GGA was carried out for an optimized crystal structure of Ta2MnAs.

The structure belongs to space group Pmmm (No. 47); the cell edges are 3.334, 3.350 and 5.686 Å and the angles 90.00°, 90.00° and 90.00°. Symmetry generates all atoms from Ta at (0.000, 0.000, 0.246), Mn at (0.500, 0.500, 0.000) and As at (0.500, 0.500, 0.500).

As for the total energy: -9.442 eV/atom.

Short version: spin magnetization = 0.6 1.9 2.3 0.0 3.7 2.0 1.4 1.5 μB/f.u., in the order given.
Short version: DFT formation energy = 0.1526 -0.0723 -0.2458 0.0028 0.0333 -0.0488 -0.0106 -0.0604 eV per atom, in the order given.